Compound: La4Ge3S12
Source: Alexandria via LeMat-Bulk
Functional: SCAN
Structure: PBEsol geometry

```
La4Ge3S12
1.0
9.645 5.569 2.668
-9.645 5.569 2.668
0.000 -11.138 2.668
La Ge S
8 6 24
Cartesian
0.000 0.000 0.000
-2.172 -7.278 4.292
-5.217 5.520 4.292
-4.428 -0.049 5.627
0.000 0.000 4.002
2.257 -3.811 5.627
2.172 3.860 5.627
7.389 1.758 4.292
-7.965 2.217 3.867
2.063 -8.006 3.867
-1.680 -3.352 5.201
-2.063 3.131 5.201
3.743 0.221 5.201
5.902 5.790 3.867
-5.284 0.091 2.786
-6.872 3.675 2.611
0.253 -7.789 2.611
-4.361 -5.478 4.120
-1.808 1.015 2.017
0.025 -2.073 2.017
-5.784 -2.609 5.265
-2.774 -1.894 3.945
-0.633 -4.824 3.931
2.563 -4.622 2.786
1.783 1.058 2.017
-3.861 2.960 3.931
-2.563 6.516 4.120
-0.253 3.349 3.945
3.027 -1.455 3.945
2.721 4.531 2.786
-0.025 -2.073 6.019
-1.783 1.058 6.019
4.494 1.864 3.931
6.619 4.114 2.611
5.152 -3.705 5.265
6.925 -1.038 4.120
1.808 1.015 6.019
0.633 6.314 5.265
```

Formation energy (no corrections)   -1.54 eV per atom
Energy   -19.7071 eV/atom
Magnetic moment   0.0 μB per formula unit
Symmetry   R3c
Volume   22.63 A^3/atom